Density functional theory data (PBE) for a geometry-optimized Hf3TiF structure.

Output
Offset from the most stable computed form (meV/atom): 1299

a = 4.961 Å, b = 4.961 Å, c = 4.961 Å
α = 90.00°, β = 90.00°, γ = 90.00°
Fractional positions:
F 0.500 0.500 0.500
Hf 0.000 0.500 0.000
Hf 0.500 0.000 0.000
Hf 0.000 0.000 0.500
Ti 0.000 0.000 0.000

Density functional theory data (PBE) for a geometry-optimized YHf2TiF structure.

Output
Offset from the most stable computed form (meV/atom): 0

a = 5.481 Å, b = 3.859 Å, c = 5.481 Å
α = 90.00°, β = 90.00°, γ = 90.00°
Last column: magnetic moment on the atom in μB.
Fractional positions:
Ti 0.000 0.000 0.000  0.24
F 0.000 0.500 0.000  0.02
Hf 0.500 0.000 0.000  0.17
Hf 0.000 0.000 0.500  0.20
Y 0.500 0.500 0.500  0.11

Density functional theory data (PBE) for a geometry-optimized YHf2TiF structure.

Output
Offset from the most stable computed form (meV/atom): 476

a = 5.663 Å, b = 4.056 Å, c = 5.663 Å
α = 90.00°, β = 90.00°, γ = 90.00°
Last column: magnetic moment on the atom in μB.
Fractional positions:
F 0.000 0.500 0.000  0.03
Hf 0.000 0.000 0.500  0.25
Hf 0.500 0.000 0.000  0.25
Ti 0.500 0.500 0.500  1.37
Y 0.000 0.000 0.000  0.02

Number 1: calculated volume 122.1 Å³ per cell. Number 2: calculated volume 115.9 Å³ per cell. Number 3: calculated volume 130.1 Å³ per cell.